[1]
# PC2 (GGA-PBE, relaxed)
data_PC2
_chemical_formula_sum 'P2 C4'
_space_group_name_H-M_alt 'P 63/m m c'
_space_group_IT_number 194
_space_group_name_Hall '-P 6c 2c'
_cell_length_a 2.4669
_cell_length_b 2.4669
_cell_length_c 17.3396
_cell_angle_alpha 90.00
_cell_angle_beta 90.00
_cell_angle_gamma 120.00
loop_
_atom_site_label
_atom_site_fract_x
_atom_site_fract_y
_atom_site_fract_z
P1 0.3333 0.6667 0.2500
C1 0.3333 0.6667 0.0000
# ρ, g/cm3: 2.00
# Total energy, eV per atom: -7.610
# N(E_F), states/eV per cell: 2.83

[2]
# PC2 (GGA-PBE, relaxed)
data_PC2
_chemical_formula_sum 'P4 C8'
_space_group_name_H-M_alt 'C 1 2/m 1'
_space_group_IT_number 12
_cell_length_a 7.2018
_cell_length_b 2.8355
_cell_length_c 6.7690
_cell_angle_alpha 90.00
_cell_angle_beta 117.14
_cell_angle_gamma 90.00
loop_
_space_group_symop_operation_xyz
'x,y,z'
'-x,-y,-z'
'-x,y,-z'
'x,-y,z'
'x+1/2,y+1/2,z'
'-x+1/2,-y+1/2,-z'
'-x+1/2,y+1/2,-z'
'x+1/2,-y+1/2,z'
loop_
_atom_site_label
_atom_site_fract_x
_atom_site_fract_y
_atom_site_fract_z
P1 0.1904 0.0000 0.2993
C1 0.0618 0.5000 0.1119
C2 0.1063 0.0000 0.5217
# ρ, g/cm3: 2.97
# Total energy, eV per atom: -7.200
# N(E_F), states/eV per cell: 2.70